Entry from Alexandria: crystalline La12Ho5Tm at its relaxed geometry (PBE).

The crystal system is monoclinic. The total energy is -4.79 eV/atom. For the calculated formation energy, the calculation gives 0.4 eV/f.u. The total moment comes out at 0.000 μB per formula unit. The volume comes out at 34.67 A^3/atom.

abc: 10.973 10.973 6.368
angles: 106.55 106.55 59.48
Positions (direct):
La 0.004 0.662 0.167
La 0.162 0.504 0.667
La 0.171 0.829 0.000
La 0.328 0.672 0.500
La 0.338 0.996 0.833
La 0.496 0.838 0.333
La 0.504 0.162 0.667
La 0.662 0.004 0.167
La 0.672 0.328 0.500
La 0.829 0.171 0.000
La 0.838 0.496 0.333
La 0.996 0.338 0.833
Ho 0.166 0.166 0.334
Ho 0.333 0.333 0.167
Ho 0.500 0.500 0.000
Ho 0.667 0.667 0.833
Ho 0.834 0.834 0.666
Tm 0.000 0.000 0.500